# SrNbTl2Au

Crystalline SrNbTl2Au at its relaxed geometry (PBE, Alexandria).

DOS at the Fermi energy, states/eV/cell: 5.5
Formation energy from the elements, kJ/mol of atoms: 155.5
Total moment, μB per formula unit: 1.96
Theoretical density, g/cm3: 6.86

Cell and atoms, written as extended XYZ:
```
5
Lattice="6.004 0.000 0.000 0.000 6.004 0.000 0.000 0.000 5.280" Properties=species:S:1:pos:R:3 pbc="T T T"
Sr 0.000 0.000 0.000
Nb 0.000 0.000 2.640
Tl 0.000 3.002 0.000
Tl 3.002 0.000 0.000
Au 3.002 3.002 2.640
```

---

# Sr2Sn4RhAu3

Crystalline Sr2Sn4RhAu3 at its relaxed geometry (PBE, Alexandria).

DOS at the Fermi energy, states/eV/cell: 4.4
Formation energy from the elements, kJ/mol of atoms: -53.5
Total moment, μB per formula unit: 0.00
Theoretical density, g/cm3: 8.85

Cell and atoms, written as extended XYZ:
```
10
Lattice="4.737 0.000 0.000 0.000 4.737 0.000 0.000 0.000 11.230" Properties=species:S:1:pos:R:3 pbc="T T T"
Sr 0.000 2.369 2.673
Sr 2.369 0.000 8.557
Sn 0.000 0.000 5.615
Sn 0.000 2.369 9.925
Sn 2.369 0.000 1.305
Sn 2.369 2.369 5.615
Rh 2.369 2.369 0.000
Au 0.000 0.000 0.000
Au 0.000 2.369 7.212
Au 2.369 0.000 4.018
```

---

# Pm5Zn2Au12

Crystalline Pm5Zn2Au12 at its relaxed geometry (PBE, Alexandria).

DOS at the Fermi energy, states/eV/cell: 9.5
Formation energy from the elements, kJ/mol of atoms: -56.4
Total moment, μB per formula unit: 0.00
Theoretical density, g/cm3: 12.80

Cell and atoms, written as extended XYZ:
```
19
Lattice="7.625 -3.791 0.000 7.625 3.791 0.000 -0.094 0.000 7.223" Properties=species:S:1:pos:R:3 pbc="T T T"
Pm 0.000 0.000 0.000
Pm 3.689 0.000 6.730
Pm 4.646 0.000 3.271
Pm 10.510 0.000 3.952
Pm 11.468 0.000 0.493
Zn 7.578 1.800 3.612
Zn 7.578 -1.800 3.612
Au 5.247 2.362 5.375
Au 1.596 0.000 4.374
Au 5.984 1.486 1.020
Au 9.909 2.362 1.848
Au 9.173 1.486 6.204
Au 6.805 0.000 5.520
Au 8.351 0.000 1.703
Au 5.984 -1.486 1.020
Au 5.247 -2.362 5.375
Au 9.173 -1.486 6.204
Au 13.561 0.000 2.849
Au 9.909 -2.362 1.848
```

---

# Ti2ZnNi9

Crystalline Ti2ZnNi9 at its relaxed geometry (PBE, Alexandria).

DOS at the Fermi energy, states/eV/cell: 13.5
Formation energy from the elements, kJ/mol of atoms: -35.3
Total moment, μB per formula unit: 1.08
Theoretical density, g/cm3: 8.19

Cell and atoms, written as extended XYZ:
```
12
Lattice="3.604 0.000 0.000 0.000 3.604 0.000 0.000 0.000 10.762" Properties=species:S:1:pos:R:3 pbc="T T T"
Ti 0.000 0.000 1.836
Ti 0.000 0.000 8.926
Zn 0.000 0.000 5.381
Ni 0.000 1.802 0.000
Ni 0.000 1.802 3.592
Ni 0.000 1.802 7.170
Ni 1.802 0.000 0.000
Ni 1.802 0.000 3.592
Ni 1.802 0.000 7.170
Ni 1.802 1.802 1.790
Ni 1.802 1.802 5.381
Ni 1.802 1.802 8.971
```